## Na2RhO3 (PBE)

Data for a relaxed Na2RhO3 crystal.

Structure (POSCAR):
```
Na2RhO3
1.0
-5.312 0.723 0.765
1.133 -3.822 3.812
1.929 5.085 0.915
O Rh Na
6 2 4
Cartesian
-0.494 1.834 3.482
0.567 -1.911 1.906
-1.755 0.153 2.010
-1.691 2.904 0.840
-4.305 1.695 2.008
2.056 0.292 3.483
0.134 0.035 2.807
-2.383 1.952 2.684
-2.121 4.887 1.730
-0.128 -2.900 3.762
-2.659 -1.142 3.690
0.410 3.129 1.801
```

Calculated values
For the total magnetic moment, the calculation gives 1.03 μB per formula unit. The total DFT energy (no corrections) is -5.255 eV per atom.